# AcThZnIn

A relaxed AcThZnIn crystal (PBE, Alexandria via LeMat-Bulk). Values from VASP.

The total energy is -4.072 eV/atom. The value obtained for the formation energy is -0.75 eV per formula unit.

Quantum ESPRESSO input file:
```
&SYSTEM
  ibrav = 0, nat = 4, ntyp = 4
/
ATOMIC_SPECIES
In 114.82 In.upf
Th 232.04 Th.upf
Ac 227.00 Ac.upf
Zn 65.41 Zn.upf
ATOMIC_POSITIONS crystal
In 0.0000 0.0000 0.0000
Th 0.2500 0.2500 0.2500
Ac 0.7500 0.7500 0.7500
Zn 0.5000 0.5000 0.5000
CELL_PARAMETERS angstrom
-1.3713 5.0926 1.6075
-4.9126 2.0944 -1.3706
-3.8639 0.7239 3.8659
```